# Cd2CuTc (meta-GGA SCAN, PBEsol geometry)
# Spin magnetization = 0.000 μB per formula unit
# Raw total energy = -219.10 eV per cell
# DFT formation energy = 0.38 eV per atom
# Fermi-level density of states = 4.1 states/eV/cell
# Crystal system = orthorhombic
data_Cd2CuTc
_chemical_formula_sum 'Cd4 Cu2 Tc2'
_symmetry_space_group_name_H-M 'I m m 2'
_symmetry_Int_Tables_number 44
_cell_length_a 2.7882
_cell_length_b 4.7829
_cell_length_c 9.6345
_cell_angle_alpha 90.00
_cell_angle_beta 90.00
_cell_angle_gamma 90.00
loop_
_symmetry_equiv_pos_as_xyz
'x,y,z'
'-x,-y,z'
'-x,y,z'
'x,-y,z'
'x+1/2,y+1/2,z+1/2'
'-x+1/2,-y+1/2,z+1/2'
'-x+1/2,y+1/2,z+1/2'
'x+1/2,-y+1/2,z+1/2'
loop_
_atom_site_label
_atom_site_type_symbol
_atom_site_fract_x
_atom_site_fract_y
_atom_site_fract_z
Cd1 Cd 0.0000 0.0000 0.0000
Cd2 Cd 0.0000 0.5000 0.2291
Cu1 Cu 0.0000 0.5000 0.7411
Tc1 Tc 0.0000 0.0000 0.4644